Record 1
VASP calculation (GGA-PBE) on a geometry-optimized Ce2TaIrN5 structure.

Computed properties:
ΔE_f (raw) ... -950 meV per atom
Crystal system ... orthorhombic
Density of states at the Fermi level ... 0.2499 states/eV per atom
Total moment ... 0.0 μB per formula unit

Unit cell a=6.748 b=6.748 c=10.557 alpha=90.00 beta=90.00 gamma=152.03
Positions (direct):
Ce1 0.102 0.898 0.500
Ce2 0.146 0.854 0.116
Ce3 0.854 0.146 0.616
Ce4 0.898 0.102 0.000
Ta1 0.208 0.792 0.827
Ta2 0.792 0.208 0.327
Ir1 0.475 0.525 0.268
Ir2 0.525 0.475 0.768
N1 0.056 0.944 0.889
N2 0.277 0.723 0.461
N3 0.320 0.680 0.190
N4 0.365 0.635 0.807
N5 0.486 0.514 0.586
N6 0.514 0.486 0.086
N7 0.635 0.365 0.307
N8 0.680 0.320 0.690
N9 0.723 0.277 0.961
N10 0.944 0.056 0.389

Record 2
VASP calculation (GGA-PBE) on a geometry-optimized RbLiGa2 structure.

Computed properties:
Crystal system ... tetragonal
Density of states at the Fermi level ... 0.5092 states/eV per atom
Total moment ... 0.0 μB per formula unit
Energy of formation ... 0.0827 eV/atom

Unit cell a=10.565 b=10.565 c=10.565 alpha=151.78 beta=151.78 gamma=40.33
Positions (direct):
Rb1 0.375 0.625 0.750
Rb2 0.625 0.375 0.250
Li1 0.125 0.875 0.250
Li2 0.875 0.125 0.750
Ga1 0.000 0.000 0.000
Ga2 0.000 0.000 0.500
Ga3 0.000 0.500 0.000
Ga4 0.500 0.000 0.500

Record 3
VASP calculation (GGA-PBE) on a geometry-optimized CdInW2 structure.

Computed properties:
Crystal system ... tetragonal
Density of states at the Fermi level ... 0.5759 states/eV per atom
Total moment ... 0.0 μB per formula unit
Energy of formation ... 0.7096 eV/atom

Unit cell a=4.940 b=4.940 c=4.940 alpha=128.12 beta=128.12 gamma=76.42
Positions (direct):
Cd1 0.000 0.000 0.000
In1 0.250 0.750 0.500
W1 0.500 0.500 0.000
W2 0.750 0.250 0.500